# BaZrCdAs3

A relaxed structure of BaZrCdAs3 (PBE-GGA, Alexandria via LeMat-Bulk).

Calculated values
The value obtained for the total energy is -4.947 eV/atom. For the spin magnetization, the calculation gives 0.00 Bohr magnetons per cell. The formation energy is -4.3 eV per formula unit. As for the volume: 26.90 A^3/atom. Its density of states at the Fermi level is 0.504 states/eV per atom.

Cell: 8.4579 4.1796 9.7324 Å, 90.00 110.21 90.00°
Fractional coordinates of all 12 atoms:
Ba (0.2268, 0.2500, 0.2534)
Ba (0.7732, 0.7500, 0.7466)
Zr (0.3218, 0.7500, 0.8623)
Zr (0.6782, 0.2500, 0.1377)
Cd (0.0943, 0.2500, 0.6053)
Cd (0.9057, 0.7500, 0.3947)
As (0.1100, 0.2500, 0.8822)
As (0.2748, 0.7500, 0.5591)
As (0.4685, 0.7500, 0.1572)
As (0.5315, 0.2500, 0.8428)
As (0.7252, 0.2500, 0.4409)
As (0.8900, 0.7500, 0.1178)